Record 1
Material: NiSn3F9
Method: DFT, GGA+U
State: relaxed

Cell: 7.4240 8.0450 9.8087 Å, 60.47 67.76 62.52°
With the nearest neighbours (Å) after each atom.
Atoms (fractional coordinates):
F 0.7833 0.9067 0.4659  1 Ni 2.13, 2 Sn 2.29-2.33
F 0.0582 0.2158 0.2068  1 Ni 2.01, 1 Sn 2.17
F 0.1542 0.0378 0.5484  1 Ni 1.99, 1 Sn 2.14
F 0.4748 0.2068 0.2992  1 Ni 2.01
F 0.8441 0.4067 0.9659  1 Ni 2.13, 2 Sn 2.29-2.33
F 0.5371 0.8018 0.3774  1 Ni 2.03, 1 Sn 2.14
F 0.2596 0.5378 0.0484  1 Ni 1.99, 1 Sn 2.14
F 0.1422 0.5618 0.5632  1 Sn 2.09
F 0.8339 0.6421 0.1260  1 Ni 2.04, 1 Sn 2.17
F 0.8643 0.3684 0.6824  1 Sn 2.09
F 0.5192 0.7158 0.7068  1 Ni 2.01, 1 Sn 2.17
F 0.7197 0.0629 0.7624  2 Sn 2.16-2.27
F 0.2837 0.3018 0.8774  1 Ni 2.03, 1 Sn 2.14
F 0.7328 0.0618 0.0632  1 Sn 2.09
F 0.0849 0.8684 0.1824  1 Sn 2.09
F 0.0192 0.7068 0.7992  1 Ni 2.01
F 0.3981 0.1421 0.6260  1 Ni 2.04, 1 Sn 2.17
F 0.4550 0.5629 0.2624  2 Sn 2.16-2.27
Sn 0.4769 0.3576 0.6439  3 F 2.14-2.27
Sn 0.8292 0.1228 0.2033  6 F 2.09-2.33
Sn 0.8447 0.6228 0.7033  6 F 2.09-2.33
Sn 0.1826 0.5062 0.2915  4 F 2.14-2.39
Sn 0.0196 0.0062 0.7915  4 F 2.14-2.39
Sn 0.5215 0.8576 0.1439  3 F 2.14-2.27
Ni 0.0660 0.4668 0.0074  6 F 1.99-2.13
Ni 0.4598 0.9668 0.5074  6 F 1.99-2.13

**VASP energy**: -0.340 Ry/atom
**Calculated density**: 4.4 g/cm³

Record 2
Material: NiSnF2
Method: DFT, GGA+U
State: relaxed

Cell: 7.8773 7.8773 7.8773 Å, 23.18 23.18 23.18°
With the nearest neighbours (Å) after each atom.
Atoms (fractional coordinates):
Ni 0.0000 0.0000 0.0000  2 F 1.90
F 0.9172 0.9172 0.9172  1 Ni 1.90
F 0.0828 0.0828 0.0828  1 Ni 1.90
Sn 0.5000 0.5000 0.5000  6 F 2.66

**VASP energy**: -0.268 Ry/atom
**Calculated density**: 5.4 g/cm³
**Excess energy over the best structure of this formula in the dataset**: 0.382 eV/atom

Record 3
Material: NiSnF2
Method: DFT, GGA+U
State: relaxed

Cell: 5.5051 5.5051 6.3606 Å, 64.36 64.36 90.00°
With the nearest neighbours (Å) after each atom.
Atoms (fractional coordinates):
F 0.8750 0.7167 0.7500  2 Ni 1.93
F 0.3750 0.5333 0.7500  2 Ni 1.93
F 0.2833 0.6250 0.2500  2 Ni 1.93
F 0.4667 0.1250 0.2500  2 Ni 1.93
Sn 0.7500 0.2500 0.5000  4 F 2.92
Sn 0.0000 0.0000 0.0000  4 F 2.92
Ni 0.2500 0.7500 0.5000  4 F 1.93
Ni 0.5000 0.5000 0.0000  4 F 1.93

**VASP energy**: -0.264 Ry/atom
**Calculated density**: 4.7 g/cm³
**Excess energy over the best structure of this formula in the dataset**: 0.436 eV/atom

Record 4
Material: NiSnF2
Method: DFT, GGA+U
State: relaxed

Cell: 8.9385 8.9385 8.9385 Å, 20.20 20.20 20.20°
With the nearest neighbours (Å) after each atom.
Atoms (fractional coordinates):
Ni 0.5000 0.5000 0.5000  6 F 2.05
Sn 0.0000 0.0000 0.0000  6 Sn 3.13, 2 F 3.41
F 0.8701 0.8701 0.8701  3 Ni 2.05
F 0.1299 0.1299 0.1299  3 Ni 2.05

**VASP energy**: -0.296 Ry/atom
**Calculated density**: 4.8 g/cm³
**Excess energy over the best structure of this formula in the dataset**: 0.000 eV/atom

Record 5
Material: Y2NiSnF
Method: DFT, GGA+U
State: relaxed

Cell: 4.7006 4.5226 4.7006 Å, 90.00 90.00 90.00°
With the nearest neighbours (Å) after each atom.
Atoms (fractional coordinates):
Y 0.0000 0.0000 0.5000  2 F 2.35
Y 0.5000 0.0000 0.0000  2 F 2.35
Ni 0.0000 0.5000 0.0000  2 F 2.26
Sn 0.5000 0.5000 0.5000  8 Y 3.26, 4 Ni 3.32
F 0.0000 0.0000 0.0000  2 Ni 2.26, 4 Y 2.35

**VASP energy**: -0.367 Ry/atom
**Calculated density**: 6.2 g/cm³

Record 6
Material: ZnNiSnF6
Method: DFT, GGA+U
State: relaxed

Cell: 5.3863 5.3894 5.1493 Å, 90.06 90.03 59.98°
With the nearest neighbours (Å) after each atom.
Atoms (fractional coordinates):
F 0.3639 0.9955 0.7159  1 Ni 2.03, 1 Zn 2.07
F 0.3640 0.6406 0.2840  1 Ni 2.03, 1 Zn 2.07
F 0.9951 0.6412 0.7158  1 Ni 2.03, 1 Zn 2.07
F 0.6408 0.3644 0.7159  1 Ni 2.03, 1 Zn 2.07
F 0.6408 0.9948 0.2840  1 Ni 2.03, 1 Zn 2.07
F 0.9951 0.3637 0.2842  1 Ni 2.03, 1 Zn 2.07
Sn 0.0001 0.9999 0.0000  6 F 2.43-2.44
Zn 0.3335 0.3332 0.5000  6 F 2.07
Ni 0.6665 0.6667 0.5000  6 F 2.03

**VASP energy**: -0.321 Ry/atom
**Calculated density**: 4.6 g/cm³

Record 7
Material: Sr3Ni5F12
Method: DFT, GGA+U
State: relaxed

Cell: 11.5301 11.5301 11.5301 Å, 109.47 109.47 109.47°
With the nearest neighbours (Å) after each atom.
Atoms (fractional coordinates):
F 0.9207 0.8327 0.7968  2 Ni 2.10
F 0.1673 0.0793 0.7032  2 Ni 2.10
F 0.8761 0.5793 0.9120  2 Ni 2.10
F 0.6673 0.4641 0.5880  2 Ni 2.10
F 0.6239 0.0359 0.2032  2 Ni 2.10
F 0.7032 0.5793 0.1673  2 Ni 2.10
F 0.8327 0.9120 0.0359  2 Ni 2.10
F 0.0359 0.4120 0.8327  2 Ni 2.10
F 0.2032 0.6673 0.0793  2 Ni 2.10
F 0.7032 0.1239 0.0359  2 Ni 2.10
F 0.5359 0.3327 0.9120  2 Ni 2.10
F 0.9207 0.0880 0.6239  2 Ni 2.10
F 0.0880 0.1673 0.4641  2 Ni 2.10
F 0.9641 0.5880 0.1673  2 Ni 2.10
F 0.0880 0.9207 0.1239  2 Ni 2.10
F 0.3761 0.9641 0.7968  2 Ni 2.10
F 0.2968 0.8761 0.9641  2 Ni 2.10
F 0.5793 0.8761 0.4120  2 Ni 2.10
F 0.2968 0.4207 0.8327  2 Ni 2.10
F 0.4120 0.0359 0.3327  2 Ni 2.10
F 0.2032 0.5359 0.6239  2 Ni 2.10
F 0.4641 0.6673 0.0880  2 Ni 2.10
F 0.0793 0.1673 0.2032  2 Ni 2.10
F 0.4207 0.2968 0.3327  2 Ni 2.10
F 0.6239 0.5880 0.9207  2 Ni 2.10
F 0.9120 0.0793 0.8761  2 Ni 2.10
F 0.1239 0.7032 0.5359  2 Ni 2.10
F 0.5793 0.7032 0.6673  2 Ni 2.10
F 0.4207 0.1239 0.5880  2 Ni 2.10
F 0.5359 0.2032 0.1239  2 Ni 2.10
F 0.3327 0.7968 0.4207  2 Ni 2.10
F 0.1239 0.4207 0.0880  2 Ni 2.10
F 0.7968 0.4641 0.3761  2 Ni 2.10
F 0.8327 0.9207 0.2968  2 Ni 2.10
F 0.4120 0.3761 0.5793  2 Ni 2.10
F 0.9641 0.3761 0.2968  2 Ni 2.10
F 0.0359 0.6239 0.7032  2 Ni 2.10
F 0.3327 0.5359 0.4120  2 Ni 2.10
F 0.4641 0.7968 0.8761  2 Ni 2.10
F 0.5880 0.9641 0.6673  2 Ni 2.10
F 0.6673 0.2032 0.5793  2 Ni 2.10
F 0.9120 0.8327 0.5359  2 Ni 2.10
F 0.3761 0.4120 0.0793  2 Ni 2.10
F 0.0793 0.9120 0.3761  2 Ni 2.10
F 0.8761 0.2968 0.4641  2 Ni 2.10
F 0.5880 0.6239 0.4207  2 Ni 2.10
F 0.1673 0.0880 0.9641  2 Ni 2.10
F 0.7968 0.3327 0.9207  2 Ni 2.10
Sr 0.7500 0.3750 0.1250  8 F 2.52-2.59
Sr 0.6250 0.3750 0.7500  8 F 2.52-2.59
Sr 0.1250 0.8750 0.7500  8 F 2.52-2.59
Sr 0.8750 0.7500 0.1250  8 F 2.52-2.59
Sr 0.3750 0.7500 0.6250  8 F 2.52-2.59
Sr 0.1250 0.2500 0.8750  8 F 2.52-2.59
Sr 0.7500 0.8750 0.6250  8 F 2.52-2.59
Sr 0.3750 0.6250 0.2500  8 F 2.52-2.59
Sr 0.6250 0.2500 0.3750  8 F 2.52-2.59
Sr 0.2500 0.1250 0.3750  8 F 2.52-2.59
Sr 0.2500 0.6250 0.8750  8 F 2.52-2.59
Sr 0.8750 0.1250 0.2500  8 F 2.52-2.59
Ni 0.5000 0.5000 0.0000  6 F 2.10
Ni 0.1250 0.7500 0.3750  4 F 2.10
Ni 0.8750 0.6250 0.7500  4 F 2.10
Ni 0.7500 0.1250 0.8750  4 F 2.10
Ni 0.0000 0.0000 0.0000  6 F 2.10
Ni 0.5000 0.5000 0.5000  6 F 2.10
Ni 0.6250 0.8750 0.2500  4 F 2.10
Ni 0.8750 0.2500 0.6250  4 F 2.10
Ni 0.5000 0.0000 0.5000  6 F 2.10
Ni 0.2500 0.3750 0.6250  4 F 2.10
Ni 0.3750 0.1250 0.7500  4 F 2.10
Ni 0.0000 0.5000 0.5000  6 F 2.10
Ni 0.1250 0.3750 0.2500  4 F 2.10
Ni 0.3750 0.2500 0.1250  4 F 2.10
Ni 0.0000 0.5000 0.0000  6 F 2.10
Ni 0.0000 0.0000 0.5000  6 F 2.10
Ni 0.6250 0.7500 0.8750  4 F 2.10
Ni 0.5000 0.0000 0.0000  6 F 2.10
Ni 0.2500 0.8750 0.1250  4 F 2.10
Ni 0.7500 0.6250 0.3750  4 F 2.10

**VASP energy**: -0.313 Ry/atom
**Calculated density**: 4.4 g/cm³

Record 8
Material: SrNi2F
Method: DFT, GGA+U
State: relaxed

Cell: 4.4915 4.4915 9.1445 Å, 75.78 75.78 90.00°
With the nearest neighbours (Å) after each atom.
Atoms (fractional coordinates):
F 0.2500 0.7500 0.5000  4 Ni 2.42
F 0.5000 0.5000 0.0000  4 Ni 2.42
Sr 0.0000 0.0000 0.0000  4 F 3.18, 8 Ni 3.30
Sr 0.7500 0.2500 0.5000  4 F 3.18, 8 Ni 3.30
Ni 0.3749 0.6250 0.2500  2 Ni 2.25, 2 F 2.42
Ni 0.3750 0.6249 0.7500  2 Ni 2.25, 2 F 2.42
Ni 0.3751 0.1250 0.2500  2 Ni 2.25, 2 F 2.42
Ni 0.8750 0.6251 0.7500  2 Ni 2.25, 2 F 2.42

**VASP energy**: -0.183 Ry/atom
**Calculated density**: 4.3 g/cm³
**Excess energy over the best structure of this formula in the dataset**: 0.000 eV/atom

Record 9
Material: SrNiF4
Method: DFT, GGA+U
State: relaxed

Cell: 7.5973 7.5973 5.6715 Å, 90.00 90.00 149.28°
With the nearest neighbours (Å) after each atom.
Atoms (fractional coordinates):
F 0.4140 0.5860 0.2010  2 Ni 2.02
F 0.5860 0.4140 0.7010  2 Ni 2.02
F 0.0353 0.9647 0.0186  2 Ni 1.99-2.06
F 0.7967 0.2033 0.3726  1 Ni 2.04
F 0.1619 0.8381 0.3882  1 Ni 1.99
F 0.9647 0.0353 0.5186  2 Ni 1.99-2.06
F 0.2033 0.7967 0.8726  1 Ni 2.04
F 0.8381 0.1619 0.8882  1 Ni 1.99
Ni 0.9142 0.0858 0.1793  6 F 1.99-2.06
Ni 0.0858 0.9142 0.6793  6 F 1.99-2.06
Sr 0.3427 0.6573 0.6242  8 F 2.48-2.76
Sr 0.6573 0.3427 0.1242  8 F 2.48-2.76

**VASP energy**: -0.368 Ry/atom
**Calculated density**: 4.4 g/cm³

Record 10
Material: Sr2Ni3F10
Method: DFT, GGA+U
State: relaxed

Cell: 5.9235 7.6180 9.5899 Å, 109.80 107.99 90.00°
With the nearest neighbours (Å) after each atom.
Atoms (fractional coordinates):
F 0.2417 0.2947 0.4834  1 Ni 1.96
F 0.9068 0.4744 0.3035  1 Ni 1.99
F 0.9831 0.8160 0.9662  3 Ni 1.99-2.02
F 0.1540 0.9571 0.7690  2 Ni 2.00-2.02
F 0.8654 0.2560 0.7308  2 Ni 2.01-2.04
F 0.6149 0.9571 0.7690  2 Ni 2.00-2.02
F 0.5098 0.1905 0.0196  2 Ni 2.00
F 0.0932 0.5256 0.6965  1 Ni 1.99
F 0.3967 0.4744 0.3035  1 Ni 1.99
F 0.6033 0.5256 0.6965  1 Ni 1.99
F 0.4902 0.8095 0.9804  2 Ni 2.00
F 0.2374 0.5000 0.0000  2 Ni 2.06
F 0.0000 0.0000 0.5000  2 Ni 2.03
F 0.3851 0.0429 0.2310  2 Ni 2.00-2.02
F 0.7626 0.5000 0.0000  2 Ni 2.06
F 0.8460 0.0429 0.2310  2 Ni 2.00-2.02
F 0.1346 0.7440 0.2692  2 Ni 2.01-2.04
F 0.5000 0.0000 0.5000  2 Ni 2.03
F 0.0169 0.1840 0.0338  3 Ni 1.99-2.02
F 0.7583 0.7053 0.5166  1 Ni 1.96
Ni 0.0752 0.4603 0.1505  6 F 1.99-2.06
Ni 0.9248 0.5397 0.8495  6 F 1.99-2.06
Ni 0.2578 0.0000 0.0000  6 F 2.00-2.02
Ni 0.8216 0.9744 0.6431  6 F 1.96-2.03
Ni 0.7422 0.0000 0.0000  6 F 2.00-2.02
Ni 0.1784 0.0256 0.3569  6 F 1.96-2.03
Sr 0.2806 0.6771 0.5613  7 F 2.48-2.74
Sr 0.7194 0.3229 0.4387  7 F 2.48-2.74
Sr 0.6144 0.7134 0.2289  8 F 2.62-2.85
Sr 0.3856 0.2866 0.7711  8 F 2.62-2.85

**VASP energy**: -0.355 Ry/atom
**Calculated density**: 4.7 g/cm³

Record 11
Material: SrNiF3
Method: DFT, GGA+U
State: relaxed

Cell: 4.7181 4.7181 4.7181 Å, 90.00 90.00 90.00°
With the nearest neighbours (Å) after each atom.
Atoms (fractional coordinates):
F 0.0000 0.0000 0.5000  2 Sr 2.36
F 0.5000 0.0000 0.0000  2 Sr 2.36
F 0.0000 0.5000 0.0000  2 Sr 2.36
Sr 0.0000 0.0000 0.0000  6 F 2.36
Ni 0.5000 0.5000 0.5000  12 F 3.34

**VASP energy**: -0.295 Ry/atom
**Calculated density**: 3.2 g/cm³

Record 12
Material: SrNi2F
Method: DFT, GGA+U
State: relaxed

Cell: 4.4685 4.4685 4.4685 Å, 60.00 60.00 60.00°
With the nearest neighbours (Å) after each atom.
Atoms (fractional coordinates):
F 0.0000 0.0000 0.0000  8 Ni 2.74
Ni 0.2500 0.2500 0.2500  4 F 2.74, 4 Sr 2.74
Ni 0.7500 0.7500 0.7500  4 F 2.74, 4 Sr 2.74
Sr 0.5000 0.5000 0.5000  8 Ni 2.74

**VASP energy**: -0.111 Ry/atom
**Calculated density**: 5.9 g/cm³
**Excess energy over the best structure of this formula in the dataset**: 0.976 eV/atom

Record 13
Material: SrNiF4
Method: DFT, GGA+U
State: relaxed

Cell: 5.6602 7.6633 7.9759 Å, 101.33 90.00 90.00°
With the nearest neighbours (Å) after each atom.
Atoms (fractional coordinates):
Sr 0.2261 0.6784 0.9059  7 F 2.41-2.64
Sr 0.7261 0.3216 0.5941  7 F 2.41-2.64
Sr 0.2739 0.6784 0.4059  7 F 2.41-2.64
Sr 0.7739 0.3216 0.0941  7 F 2.41-2.64
F 0.5952 0.0610 0.2157  2 Ni 2.00-2.05
F 0.3355 0.1702 0.5519  2 Ni 2.05-2.06
F 0.1645 0.1702 0.0519  2 Ni 2.05-2.06
F 0.5005 0.3321 0.8655  1 Ni 2.00
F 0.9048 0.0610 0.7157  2 Ni 2.00-2.05
F 0.9995 0.3321 0.3655  1 Ni 2.00
F 0.0952 0.9390 0.2843  2 Ni 2.00-2.05
F 0.6645 0.8298 0.4481  2 Ni 2.05-2.06
F 0.4995 0.6679 0.1345  1 Ni 2.00
F 0.0180 0.3909 0.8325  1 Ni 2.05
F 0.9820 0.6091 0.1675  1 Ni 2.05
F 0.4820 0.3909 0.3325  1 Ni 2.05
F 0.8355 0.8298 0.9481  2 Ni 2.05-2.06
F 0.5180 0.6091 0.6675  1 Ni 2.05
F 0.0005 0.6679 0.6345  1 Ni 2.00
F 0.4048 0.9390 0.7843  2 Ni 2.00-2.05
Ni 0.2266 0.1674 0.7984  6 F 2.00-2.06
Ni 0.7266 0.8326 0.7016  6 F 2.00-2.06
Ni 0.7734 0.8326 0.2016  6 F 2.00-2.06
Ni 0.2734 0.1674 0.2984  6 F 2.00-2.06

**VASP energy**: -0.368 Ry/atom
**Calculated density**: 4.4 g/cm³

Record 14
Material: Sr2NiF8
Method: DFT, GGA+U
State: relaxed

Cell: 4.6964 6.2462 6.2462 Å, 74.64 74.28 74.28°
With the nearest neighbours (Å) after each atom.
Atoms (fractional coordinates):
F 0.7606 0.2832 0.9501  1 Ni 1.82
F 0.7606 0.9501 0.2832  1 Ni 1.82
F 0.7719 0.8891 0.8891  1 Ni 1.78
F 0.8023 0.4086 0.4086  3 Sr 2.39-2.45
F 0.1977 0.5914 0.5914  3 Sr 2.39-2.45
F 0.2394 0.7168 0.0499  1 Ni 1.82
F 0.2394 0.0499 0.7168  1 Ni 1.82
F 0.2281 0.1109 0.1109  1 Ni 1.78
Sr 0.3526 0.3360 0.3360  6 F 2.39-2.59
Sr 0.6474 0.6640 0.6640  6 F 2.39-2.59
Ni 0.0000 0.0000 0.0000  6 F 1.78-1.82

**VASP energy**: -0.343 Ry/atom
**Calculated density**: 3.9 g/cm³

Record 15
Material: Sr2TcNiF
Method: DFT, GGA+U
State: relaxed

Cell: 5.7883 4.3059 5.7883 Å, 90.00 90.00 90.00°
With the nearest neighbours (Å) after each atom.
Atoms (fractional coordinates):
Tc 0.0000 0.5000 0.0000  2 Ni 2.15
F 0.5000 0.5000 0.5000  8 Sr 3.61
Sr 0.0000 0.0000 0.5000  2 Ni 2.89
Sr 0.5000 0.0000 0.0000  2 Ni 2.89
Ni 0.0000 0.0000 0.0000  2 Tc 2.15

**VASP energy**: -0.260 Ry/atom
**Calculated density**: 4.0 g/cm³

Record 16
Material: SrTl3Ni2F9
Method: DFT, GGA+U
State: relaxed

Cell: 6.0616 6.0616 7.7322 Å, 90.00 90.00 120.00°
With the nearest neighbours (Å) after each atom.
Atoms (fractional coordinates):
Ni 0.6667 0.3333 0.8448  6 F 2.00-2.12
Ni 0.3333 0.6667 0.1552  6 F 2.00-2.12
F 0.0000 0.5000 0.0000  2 Ni 2.12
F 0.6468 0.8234 0.3026  1 Ni 2.00
F 0.5000 0.5000 0.0000  2 Ni 2.12
F 0.1766 0.8234 0.3026  1 Ni 2.00
F 0.8234 0.1766 0.6974  1 Ni 2.00
F 0.3532 0.1766 0.6974  1 Ni 2.00
F 0.1766 0.3532 0.3026  1 Ni 2.00
F 0.8234 0.6468 0.6974  1 Ni 2.00
F 0.5000 0.0000 0.0000  2 Ni 2.12
Tl 0.3333 0.6667 0.7059  9 F 2.87-3.03
Tl 0.0000 0.0000 0.0000  12 F 2.99-3.03
Tl 0.6667 0.3333 0.2941  9 F 2.87-3.03
Sr 0.0000 0.0000 0.5000  6 F 2.40

**VASP energy**: -0.324 Ry/atom
**Calculated density**: 6.7 g/cm³

Record 17
Material: SrTl2NiF6
Method: DFT, GGA+U
State: relaxed

Cell: 6.1158 6.4662 8.8490 Å, 90.00 90.00 90.00°
With the nearest neighbours (Å) after each atom.
Atoms (fractional coordinates):
F 0.0000 0.7792 0.7691  1 Ni 2.04
F 0.7605 0.5511 0.0000  1 Ni 2.03
F 0.7395 0.4489 0.5000  1 Ni 2.03
F 0.2605 0.4489 0.5000  1 Ni 2.03
F 0.2403 0.9908 0.0000  1 Ni 2.06
F 0.0000 0.7792 0.2309  1 Ni 2.04
F 0.7597 0.9908 0.0000  1 Ni 2.06
F 0.5000 0.2208 0.7309  1 Ni 2.04
F 0.2395 0.5511 0.0000  1 Ni 2.03
F 0.5000 0.2208 0.2691  1 Ni 2.04
F 0.2597 0.0092 0.5000  1 Ni 2.06
F 0.7403 0.0092 0.5000  1 Ni 2.06
Tl 0.5000 0.7819 0.7695  9 F 2.86-3.16
Tl 0.5000 0.7819 0.2305  9 F 2.86-3.16
Tl 0.0000 0.2181 0.7305  9 F 2.86-3.16
Tl 0.0000 0.2181 0.2695  9 F 2.86-3.16
Sr 0.5000 0.2764 0.0000  6 F 2.39-2.44
Sr 0.0000 0.7236 0.5000  6 F 2.39-2.44
Ni 0.0000 0.7677 0.0000  6 F 2.03-2.06
Ni 0.5000 0.2323 0.5000  6 F 2.03-2.06

**VASP energy**: -0.334 Ry/atom
**Calculated density**: 6.3 g/cm³

Record 18
Material: SrYNi2F
Method: DFT, GGA+U
State: relaxed

Cell: 4.5276 6.7374 4.5276 Å, 90.00 90.00 90.00°
With the nearest neighbours (Å) after each atom.
Atoms (fractional coordinates):
Sr 0.0000 0.0000 0.0000  4 Ni 2.26
F 0.5000 0.5000 0.5000  4 Y 3.20
Ni 0.5000 0.0000 0.0000  2 Sr 2.26
Ni 0.0000 0.0000 0.5000  2 Sr 2.26
Y 0.0000 0.5000 0.0000  4 F 3.20, 2 Sr 3.37

**VASP energy**: -0.121 Ry/atom
**Calculated density**: 3.8 g/cm³